# 1
First-principles (PBE) data for an optimized crystal structure of NdY3Tm2Sb6, as listed in the Alexandria database.

Cell lengths 7.616, 7.616, 7.615 Å; angles 99.60, 99.60, 120.02 degrees
Positions (direct):
Nd1 0.000 0.000 0.000
Y1 0.164 0.836 0.500
Y2 0.500 0.500 0.500
Y3 0.836 0.164 0.500
Tm1 0.332 0.668 0.000
Tm2 0.668 0.332 0.000
Sb1 0.084 0.424 0.251
Sb2 0.258 0.258 0.752
Sb3 0.424 0.084 0.251
Sb4 0.576 0.916 0.749
Sb5 0.742 0.742 0.248
Sb6 0.916 0.576 0.749

Values from the calculation:
Space-group type = C2/m
Total moment = 0.00 μB per cell
Volume = 361 Å³/f.u.
Energy relative to the elements, uncorrected = -1.13 eV per atom



# 2
First-principles (PBE) data for an optimized crystal structure of La3SnBi, as listed in the Alexandria database.

Cell lengths 8.801, 8.801, 9.169 Å; angles 90.10, 90.10, 88.16 degrees
Positions (direct):
La1 0.010 0.816 0.585
La2 0.069 0.431 0.811
La3 0.184 0.990 0.915
La4 0.308 0.497 0.415
La5 0.431 0.069 0.311
La6 0.497 0.308 0.915
La7 0.503 0.692 0.085
La8 0.569 0.931 0.689
La9 0.692 0.503 0.585
La10 0.816 0.010 0.085
La11 0.931 0.569 0.189
La12 0.990 0.184 0.415
Sn1 0.188 0.296 0.126
Sn2 0.296 0.188 0.626
Sn3 0.704 0.812 0.374
Sn4 0.812 0.704 0.874
Bi1 0.161 0.839 0.250
Bi2 0.349 0.651 0.750
Bi3 0.651 0.349 0.250
Bi4 0.839 0.161 0.750

Values from the calculation:
Space-group type = C2/c
Total moment = 0.00 μB per cell
Volume = 177 Å³/f.u.
Polymorph energy (0 for the lowest one) = 0.000 eV per atom
Calculated formation energy = -68.1 kJ/mol of atoms



# 3
First-principles (PBE) data for an optimized crystal structure of PRu2Br, as listed in the Alexandria database.

Cell lengths 3.181, 4.201, 6.314 Å; angles 90.00, 96.69, 90.00 degrees
Positions (direct):
P1 0.000 0.000 0.000
Ru1 0.052 0.500 0.131
Ru2 0.559 0.000 0.270
Br1 0.469 0.500 0.507

Values from the calculation:
Space-group type = Pm
Total moment = 0.00 μB per cell
Volume = 84 Å³/f.u.
Polymorph energy (0 for the lowest one) = 0.292 eV per atom
Energy relative to the elements, uncorrected = 0.19 eV per atom



# 4
First-principles (PBE) data for an optimized crystal structure of DyErTe, as listed in the Alexandria database.

Cell lengths 8.414, 4.006, 14.810 Å; angles 90.00, 90.89, 90.00 degrees
Positions (direct):
Dy1 0.035 0.250 0.290
Dy2 0.357 0.750 0.907
Dy3 0.458 0.750 0.613
Dy4 0.542 0.250 0.387
Dy5 0.643 0.250 0.093
Dy6 0.965 0.750 0.710
Er1 0.003 0.250 0.904
Er2 0.137 0.250 0.548
Er3 0.360 0.750 0.208
Er4 0.640 0.250 0.792
Er5 0.863 0.750 0.452
Er6 0.997 0.750 0.096
Te1 0.259 0.750 0.409
Te2 0.269 0.250 0.748
Te3 0.273 0.250 0.057
Te4 0.727 0.750 0.943
Te5 0.731 0.750 0.252
Te6 0.741 0.250 0.591

Values from the calculation:
Space-group type = P2_1/m
Total moment = 0.00 μB per cell
Volume = 83 Å³/f.u.
Polymorph energy (0 for the lowest one) = 0.007 eV per atom
Energy relative to the elements, uncorrected = -0.83 eV per atom



# 5
First-principles (PBE) data for an optimized crystal structure of Mn2NbAu, as listed in the Alexandria database.

Cell lengths 3.249, 3.249, 5.918 Å; angles 90.00, 90.00, 90.00 degrees
Positions (direct):
Mn1 0.000 0.000 0.239
Mn2 0.000 0.000 0.761
Nb1 0.500 0.500 0.000
Au1 0.500 0.500 0.500

Values from the calculation:
Space-group type = P4/mmm
Total moment = 4.78 μB per cell
Volume = 62 Å³/f.u.
Polymorph energy (0 for the lowest one) = 0.011 eV per atom
Calculated formation energy = 1.1 kJ/mol of atoms



# 6
First-principles (PBE) data for an optimized crystal structure of ZnHRhAu, as listed in the Alexandria database.

Cell lengths 6.337, 6.337, 6.337 Å; angles 154.10, 154.10, 36.95 degrees
Positions (direct):
Zn1 0.000 0.000 0.000
H1 0.836 0.836 0.000
Rh1 0.348 0.348 0.000
Au1 0.658 0.658 0.000

Values from the calculation:
Space-group type = I4mm
Total moment = 0.00 μB per cell
Volume = 48 Å³/f.u.
Energy = -15.65 eV/cell



# 7
First-principles (PBE) data for an optimized crystal structure of ReAgOs2, as listed in the Alexandria database.

Cell lengths 2.796, 4.649, 4.719 Å; angles 90.00, 90.00, 90.00 degrees
Positions (direct):
Re1 0.000 0.000 0.000
Ag1 0.500 0.000 0.500
Os1 0.000 0.500 0.500
Os2 0.500 0.500 0.000

Values from the calculation:
Space-group type = Pmmm
Total moment = 0.00 μB per cell
Volume = 61 Å³/f.u.
Polymorph energy (0 for the lowest one) = 0.621 eV per atom
Calculated formation energy = 85.6 kJ/mol of atoms



# 8
First-principles (PBE) data for an optimized crystal structure of BaPHO4, as listed in the Alexandria database.

Cell lengths 13.588, 13.588, 4.766 Å; angles 90.84, 90.84, 116.67 degrees
Positions (direct):
Ba1 0.000 0.000 0.000
Ba2 0.093 0.331 0.502
Ba3 0.229 0.707 0.179
Ba4 0.331 0.093 0.502
Ba5 0.513 0.513 0.204
Ba6 0.582 0.840 0.678
Ba7 0.707 0.229 0.179
Ba8 0.840 0.582 0.678
P1 0.097 0.843 0.590
P2 0.242 0.242 0.080
P3 0.346 0.589 0.635
P4 0.481 0.981 0.114
P5 0.589 0.346 0.635
P6 0.747 0.747 0.126
P7 0.843 0.097 0.590
P8 0.981 0.481 0.114
H1 0.031 0.772 0.158
H2 0.274 0.510 0.035
H3 0.315 0.914 0.843
H4 0.323 0.323 0.697
H5 0.510 0.274 0.035
H6 0.772 0.031 0.158
H7 0.823 0.823 0.533
H8 0.914 0.315 0.843
O1 0.019 0.570 0.892
O2 0.028 0.808 0.858
O3 0.031 0.746 0.360
O4 0.070 0.506 0.340
O5 0.103 0.953 0.486
O6 0.131 0.240 0.007
O7 0.212 0.848 0.619
O8 0.240 0.131 0.007
O9 0.252 0.500 0.827
O10 0.277 0.277 0.389
O11 0.312 0.538 0.336
O12 0.337 0.337 0.906
O13 0.340 0.698 0.674
O14 0.363 0.972 0.986
O15 0.456 0.865 0.216
O16 0.460 0.599 0.718
O17 0.500 0.252 0.827
O18 0.506 0.070 0.340
O19 0.538 0.312 0.336
O20 0.570 0.019 0.892
O21 0.599 0.460 0.718
O22 0.635 0.746 0.189
O23 0.698 0.340 0.674
O24 0.746 0.031 0.360
O25 0.746 0.635 0.189
O26 0.786 0.786 0.830
O27 0.808 0.028 0.858
O28 0.841 0.841 0.328
O29 0.848 0.212 0.619
O30 0.865 0.456 0.216
O31 0.953 0.103 0.486
O32 0.972 0.363 0.986

Values from the calculation:
Space-group type = Cm
Total moment = 0.00 μB per cell
Volume = 98 Å³/f.u.
Energy = -377.79 eV/cell



# 9
First-principles (PBE) data for an optimized crystal structure of HgTeW2, as listed in the Alexandria database.

Cell lengths 2.939, 4.761, 5.791 Å; angles 90.00, 90.76, 90.00 degrees
Positions (direct):
Hg1 0.000 0.000 0.000
Te1 0.500 0.000 0.500
W1 0.369 0.500 0.205
W2 0.631 0.500 0.795

Values from the calculation:
Space-group type = P2/m
Total moment = 0.00 μB per cell
Volume = 81 Å³/f.u.
Polymorph energy (0 for the lowest one) = 0.581 eV per atom
Energy relative to the elements, uncorrected = 1.03 eV per atom



# 10
First-principles (PBE) data for an optimized crystal structure of TlAg2Sb, as listed in the Alexandria database.

Cell lengths 5.898, 5.898, 5.234 Å; angles 104.49, 104.49, 31.71 degrees
Positions (direct):
Tl1 0.000 0.000 0.000
Ag1 0.470 0.470 0.488
Ag2 0.761 0.761 0.169
Sb1 0.220 0.220 0.637

Values from the calculation:
Space-group type = Cm
Total moment = 0.00 μB per cell
Volume = 92 Å³/f.u.
Energy relative to the elements, uncorrected = 0.10 eV per atom



# 11
First-principles (PBE) data for an optimized crystal structure of Tb6Nd3Dy, as listed in the Alexandria database.

Cell lengths 10.966, 10.966, 6.394 Å; angles 90.00, 90.00, 120.03 degrees
Positions (direct):
Tb1 0.038 0.962 0.500
Tb2 0.053 0.472 0.996
Tb3 0.272 0.728 0.717
Tb4 0.287 0.376 0.816
Tb5 0.376 0.287 0.316
Tb6 0.472 0.053 0.496
Tb7 0.528 0.947 0.996
Tb8 0.624 0.713 0.816
Tb9 0.713 0.624 0.316
Tb10 0.728 0.272 0.217
Tb11 0.947 0.528 0.496
Tb12 0.962 0.038 0.000
Nd1 0.062 0.290 0.403
Nd2 0.290 0.062 0.903
Nd3 0.387 0.613 0.293
Nd4 0.613 0.387 0.793
Nd5 0.710 0.938 0.403
Nd6 0.938 0.710 0.903
Dy1 0.194 0.806 0.240
Dy2 0.806 0.194 0.740

Values from the calculation:
Space-group type = Cmc2_1
Total moment = 0.00 μB per cell
Volume = 333 Å³/f.u.
Polymorph energy (0 for the lowest one) = 0.000 eV per atom
Calculated formation energy = 14.1 kJ/mol of atoms



# 12
First-principles (PBE) data for an optimized crystal structure of NdTaSe2, as listed in the Alexandria database.

Cell lengths 9.625, 9.625, 9.625 Å; angles 20.92, 20.92, 20.92 degrees
Positions (direct):
Nd1 0.000 0.000 0.000
Ta1 0.500 0.500 0.500
Se1 0.107 0.107 0.107
Se2 0.893 0.893 0.893

Values from the calculation:
Space-group type = R-3m
Total moment = 0.49 μB per cell
Volume = 100 Å³/f.u.
Energy relative to the elements, uncorrected = -0.59 eV per atom